Entry 1:
Entry from the Open Quantum Materials Database: NpAs after structural relaxation (PBE).

Computed properties:
The mass density is 7.54 Mg/m³. As for the energy relative to the lowest polymorph listed for this composition: 758 meV/atom. For the total energy, the calculation gives -17.44 eV/cell.

Lattice parameters (Å, degrees): 4.5964 4.5964 4.5964 60.00 60.00 60.00
With the nearest neighbours (Å) after each atom.
Element x y z (fractional)
As1 0.0000 0.0000 0.0000  4 Np 2.81
Np1 0.2500 0.2500 0.2500  4 As 2.81


Entry 2:
Entry from the Open Quantum Materials Database: TbHoGeBr2 after structural relaxation (PBE).

Computed properties:
The mass density is 6.20 Mg/m³. For the total energy, the calculation gives -24.41 eV/cell.

Lattice parameters (Å, degrees): 4.1381 4.1381 10.0494 90.00 90.00 120.00
With the nearest neighbours (Å) after each atom.
Element x y z (fractional)
Tb1 0.6667 0.3333 0.3409  3 Ge 2.88, 3 Br 2.98
Ho1 0.3333 0.6667 0.6596  3 Ge 2.87, 3 Br 2.96
Br1 0.6667 0.3333 0.8335  3 Ho 2.96
Br2 0.3333 0.6667 0.1643  3 Tb 2.98
Ge1 0.0000 0.0000 0.5017  3 Ho 2.87, 3 Tb 2.88


Entry 3:
Entry from the Open Quantum Materials Database: Th3HgC after structural relaxation (PBE).

Computed properties:
The mass density is 11.73 Mg/m³. For the total energy, the calculation gives -66.45 eV/cell.

Lattice parameters (Å, degrees): 6.8485 6.8485 10.4030 90.00 90.00 148.18
With the nearest neighbours (Å) after each atom.
Element x y z (fractional)
Th1 0.9573 0.0427 0.7500  2 C 2.66
Th2 0.3738 0.6262 0.0422  2 C 2.55
Hg1 0.2501 0.7499 0.7500  8 Th 3.30-3.45
C1 0.0000 0.0000 0.0000  6 Th 2.55-2.66
Th3 0.6262 0.3738 0.5422  2 C 2.55
Th4 0.0427 0.9573 0.2500  2 C 2.66
Th5 0.6262 0.3738 0.9578  2 C 2.55
Hg2 0.7499 0.2501 0.2500  8 Th 3.30-3.45
C2 0.0000 0.0000 0.5000  6 Th 2.55-2.66
Th6 0.3738 0.6262 0.4578  2 C 2.55